(1)
First-principles (meta-GGA SCAN) data for a crystal of TcTe3Br relaxed with PBEsol, as listed in Alexandria via LeMat-Bulk.

CIF file:
```
data_TcTe3Br
_cell_length_a 5.4174
_cell_length_b 5.4174
_cell_length_c 5.4174
_cell_angle_alpha 90.00
_cell_angle_beta 90.00
_cell_angle_gamma 90.00
_space_group_name_H-M_alt 'P m -3 m'
_space_group_IT_number 221
_space_group_name_Hall '-P 4 2 3'
loop_
_atom_site_label
_atom_site_type_symbol
_atom_site_fract_x
_atom_site_fract_y
_atom_site_fract_z
Tc1 Tc 0.0000 0.0000 0.0000
Te1 Te 0.0000 0.5000 0.5000
Br1 Br 0.5000 0.5000 0.5000
```

Formation energy without anion corrections: 136.99 kJ per mole of atoms
Calculated volume: 31.80 Å³/atom
Calculated total energy: -31.8347 eV per atom
Size of the total moment: 4.75 μB/f.u.
ρ: 5.86 Mg/m³

(2)
First-principles (meta-GGA SCAN) data for a crystal of TcTe2Br relaxed with PBEsol, as listed in Alexandria via LeMat-Bulk.

CIF file:
```
data_TcTe2Br
_cell_length_a 3.5291
_cell_length_b 3.5291
_cell_length_c 7.5251
_cell_angle_alpha 90.00
_cell_angle_beta 90.00
_cell_angle_gamma 90.00
_space_group_name_H-M_alt 'P 4 m m'
_space_group_IT_number 99
loop_
_space_group_symop_operation_xyz
'x,y,z'
'-y,x,z'
'-x,-y,z'
'y,-x,z'
'-x,y,z'
'y,x,z'
'x,-y,z'
'-y,-x,z'
loop_
_atom_site_label
_atom_site_type_symbol
_atom_site_fract_x
_atom_site_fract_y
_atom_site_fract_z
Tc1 Tc 0.0000 0.0000 0.0000
Te1 Te 0.0000 0.0000 0.3809
Te2 Te 0.5000 0.5000 0.1346
Br1 Br 0.5000 0.5000 0.7295
```

Formation energy without anion corrections: 39.62 kJ per mole of atoms
Relative energy among the computed polymorphs: 0.979 eV per formula unit
Calculated volume: 23.43 Å³/atom
Calculated total energy: -31.8448 eV per atom
Size of the total moment: 0.74 μB/f.u.
ρ: 7.67 Mg/m³

(3)
First-principles (meta-GGA SCAN) data for a crystal of Tc2TeBr relaxed with PBEsol, as listed in Alexandria via LeMat-Bulk.

CIF file:
```
data_Tc2TeBr
_cell_length_a 4.4126
_cell_length_b 3.0970
_cell_length_c 5.4198
_cell_angle_alpha 90.00
_cell_angle_beta 113.70
_cell_angle_gamma 90.00
_space_group_name_H-M_alt 'P 1 2/m 1'
_space_group_IT_number 10
loop_
_space_group_symop_operation_xyz
'x,y,z'
'-x,-y,-z'
'-x,y,-z'
'x,-y,z'
loop_
_atom_site_label
_atom_site_type_symbol
_atom_site_fract_x
_atom_site_fract_y
_atom_site_fract_z
Tc1 Tc 0.0000 0.0000 0.0000
Tc2 Tc 0.0000 0.5000 0.5000
Te1 Te 0.5000 0.0000 0.5000
Br1 Br 0.5000 0.5000 0.0000
```

Formation energy without anion corrections: 71.74 kJ per mole of atoms
Relative energy among the computed polymorphs: 0.000 eV per formula unit
Calculated volume: 16.95 Å³/atom
Calculated total energy: -30.9641 eV per atom
Size of the total moment: 0.00 μB/f.u.
ρ: 9.88 Mg/m³

(4)
First-principles (meta-GGA SCAN) data for a crystal of TcTe2Br relaxed with PBEsol, as listed in Alexandria via LeMat-Bulk.

CIF file:
```
data_TcTe2Br
_cell_length_a 3.3095
_cell_length_b 4.8113
_cell_length_c 12.4401
_cell_angle_alpha 90.00
_cell_angle_beta 90.00
_cell_angle_gamma 90.00
_space_group_name_H-M_alt 'I m m 2'
_space_group_IT_number 44
loop_
_space_group_symop_operation_xyz
'x,y,z'
'-x,-y,z'
'-x,y,z'
'x,-y,z'
'x+1/2,y+1/2,z+1/2'
'-x+1/2,-y+1/2,z+1/2'
'-x+1/2,y+1/2,z+1/2'
'x+1/2,-y+1/2,z+1/2'
loop_
_atom_site_label
_atom_site_type_symbol
_atom_site_fract_x
_atom_site_fract_y
_atom_site_fract_z
Tc1 Tc 0.0000 0.0000 0.0000
Te1 Te 0.0000 0.0000 0.5198
Te2 Te 0.0000 0.5000 0.6652
Br1 Br 0.0000 0.5000 0.3314
```

Formation energy without anion corrections: 16.00 kJ per mole of atoms
Relative energy among the computed polymorphs: 0.000 eV per formula unit
Calculated volume: 24.76 Å³/atom
Calculated total energy: -32.0896 eV per atom
Size of the total moment: 0.78 μB/f.u.
ρ: 7.26 Mg/m³

(5)
First-principles (meta-GGA SCAN) data for a crystal of Tc2TeBr relaxed with PBEsol, as listed in Alexandria via LeMat-Bulk.

CIF file:
```
data_Tc2TeBr
_cell_length_a 3.0479
_cell_length_b 4.2483
_cell_length_c 5.5624
_cell_angle_alpha 90.00
_cell_angle_beta 90.00
_cell_angle_gamma 90.00
_space_group_name_H-M_alt 'P m m m'
_space_group_IT_number 47
loop_
_space_group_symop_operation_xyz
'x,y,z'
'-x,-y,-z'
'-x,-y,z'
'x,y,-z'
'x,-y,-z'
'-x,y,z'
'-x,y,-z'
'x,-y,z'
loop_
_atom_site_label
_atom_site_type_symbol
_atom_site_fract_x
_atom_site_fract_y
_atom_site_fract_z
Tc1 Tc 0.0000 0.0000 0.0000
Tc2 Tc 0.5000 0.0000 0.5000
Te1 Te 0.0000 0.5000 0.5000
Br1 Br 0.5000 0.5000 0.0000
```

Formation energy without anion corrections: 101.23 kJ per mole of atoms
Relative energy among the computed polymorphs: 1.222 eV per formula unit
Calculated volume: 18.01 Å³/atom
Calculated total energy: -30.6584 eV per atom
Size of the total moment: 1.69 μB/f.u.
ρ: 9.30 Mg/m³

(6)
First-principles (meta-GGA SCAN) data for a crystal of TcTe4Br relaxed with PBEsol, as listed in Alexandria via LeMat-Bulk.

CIF file:
```
data_TcTe4Br
_cell_length_a 8.7255
_cell_length_b 8.7255
_cell_length_c 8.7255
_cell_angle_alpha 90.00
_cell_angle_beta 90.00
_cell_angle_gamma 90.00
_space_group_name_H-M_alt 'F -4 3 m'
_space_group_IT_number 216
_space_group_name_Hall 'F -4 2 3'
loop_
_atom_site_label
_atom_site_type_symbol
_atom_site_fract_x
_atom_site_fract_y
_atom_site_fract_z
Tc1 Tc 0.0000 0.0000 0.0000
Te1 Te 0.1254 0.1254 0.3746
Br1 Br 0.2500 0.2500 0.7500
```

Formation energy without anion corrections: 71.71 kJ per mole of atoms
Calculated volume: 27.68 Å³/atom
Calculated total energy: -33.1774 eV per atom
Size of the total moment: 4.63 μB/f.u.
ρ: 6.88 Mg/m³

(7)
First-principles (meta-GGA SCAN) data for a crystal of TcTeBr2 relaxed with PBEsol, as listed in Alexandria via LeMat-Bulk.

CIF file:
```
data_TcTeBr2
_cell_length_a 3.2087
_cell_length_b 4.8690
_cell_length_c 11.8736
_cell_angle_alpha 90.00
_cell_angle_beta 90.00
_cell_angle_gamma 90.00
_space_group_name_H-M_alt 'I m m 2'
_space_group_IT_number 44
loop_
_space_group_symop_operation_xyz
'x,y,z'
'-x,-y,z'
'-x,y,z'
'x,-y,z'
'x+1/2,y+1/2,z+1/2'
'-x+1/2,-y+1/2,z+1/2'
'-x+1/2,y+1/2,z+1/2'
'x+1/2,-y+1/2,z+1/2'
loop_
_atom_site_label
_atom_site_type_symbol
_atom_site_fract_x
_atom_site_fract_y
_atom_site_fract_z
Tc1 Tc 0.0000 0.0000 0.0000
Te1 Te 0.0000 0.5000 0.6696
Br1 Br 0.0000 0.0000 0.4989
Br2 Br 0.0000 0.5000 0.3161
```

Formation energy without anion corrections: 24.25 kJ per mole of atoms
Relative energy among the computed polymorphs: 0.323 eV per formula unit
Calculated volume: 23.19 Å³/atom
Calculated total energy: -27.5562 eV per atom
Size of the total moment: 0.00 μB/f.u.
ρ: 6.90 Mg/m³

(8)
First-principles (meta-GGA SCAN) data for a crystal of TcTeBr2 relaxed with PBEsol, as listed in Alexandria via LeMat-Bulk.

CIF file:
```
data_TcTeBr2
_cell_length_a 6.9144
_cell_length_b 6.9144
_cell_length_c 6.9144
_cell_angle_alpha 90.00
_cell_angle_beta 90.00
_cell_angle_gamma 90.00
_space_group_name_H-M_alt 'F -4 3 m'
_space_group_IT_number 216
_space_group_name_Hall 'F -4 2 3'
loop_
_atom_site_label
_atom_site_type_symbol
_atom_site_fract_x
_atom_site_fract_y
_atom_site_fract_z
Tc1 Tc 0.0000 0.0000 0.0000
Te1 Te 0.2500 0.2500 0.2500
Br1 Br 0.0000 0.0000 0.5000
Br2 Br 0.2500 0.2500 0.7500
```

Formation energy without anion corrections: 65.36 kJ per mole of atoms
Relative energy among the computed polymorphs: 2.027 eV per formula unit
Calculated volume: 20.66 Å³/atom
Calculated total energy: -27.1301 eV per atom
Size of the total moment: 2.93 μB/f.u.
ρ: 7.74 Mg/m³

(9)
First-principles (meta-GGA SCAN) data for a crystal of TcTeBr2 relaxed with PBEsol, as listed in Alexandria via LeMat-Bulk.

CIF file:
```
data_TcTeBr2
_cell_length_a 3.1310
_cell_length_b 3.1310
_cell_length_c 9.2678
_cell_angle_alpha 90.00
_cell_angle_beta 90.00
_cell_angle_gamma 90.00
_space_group_name_H-M_alt 'P 4 m m'
_space_group_IT_number 99
loop_
_space_group_symop_operation_xyz
'x,y,z'
'-y,x,z'
'-x,-y,z'
'y,-x,z'
'-x,y,z'
'y,x,z'
'x,-y,z'
'-y,-x,z'
loop_
_atom_site_label
_atom_site_type_symbol
_atom_site_fract_x
_atom_site_fract_y
_atom_site_fract_z
Tc1 Tc 0.0000 0.0000 0.0000
Te1 Te 0.5000 0.5000 0.1752
Br1 Br 0.0000 0.0000 0.4964
Br2 Br 0.5000 0.5000 0.8205
```

Formation energy without anion corrections: 16.47 kJ per mole of atoms
Relative energy among the computed polymorphs: 0.000 eV per formula unit
Calculated volume: 22.71 Å³/atom
Calculated total energy: -27.6369 eV per atom
Size of the total moment: 0.00 μB/f.u.
ρ: 7.04 Mg/m³

(10)
First-principles (meta-GGA SCAN) data for a crystal of TlTc2Br relaxed with PBEsol, as listed in Alexandria via LeMat-Bulk.

CIF file:
```
data_TlTc2Br
_cell_length_a 3.0698
_cell_length_b 3.0256
_cell_length_c 8.3658
_cell_angle_alpha 90.00
_cell_angle_beta 100.37
_cell_angle_gamma 90.00
_space_group_name_H-M_alt 'P 1 m 1'
_space_group_IT_number 6
loop_
_space_group_symop_operation_xyz
'x,y,z'
'x,-y,z'
loop_
_atom_site_label
_atom_site_type_symbol
_atom_site_fract_x
_atom_site_fract_y
_atom_site_fract_z
Tl1 Tl 0.0000 0.0000 0.0000
Tc1 Tc 0.3752 0.5000 0.7473
Tc2 Tc 0.7935 0.0000 0.5803
Br1 Br 0.6697 0.5000 0.3304
```

Formation energy without anion corrections: 24.64 kJ per mole of atoms
Relative energy among the computed polymorphs: 0.000 eV per formula unit
Calculated volume: 19.11 Å³/atom
Calculated total energy: -40.2291 eV per atom
Size of the total moment: 0.00 μB/f.u.
ρ: 10.43 Mg/m³